# Si2AsPb2 PBE optimized geometry
# Formation energy (no corrections): 0.354 eV per atom
# Magnetic moment: 0.0000 μB per atom
data_Si2AsPb2
_symmetry_space_group_name_H-M 'P 4/m b m'
_symmetry_Int_Tables_number 127
_symmetry_space_group_name_Hall '-P 4 2ab'
_cell_length_a 6.7123
_cell_length_b 6.7123
_cell_length_c 5.2111
_cell_angle_alpha 90.00
_cell_angle_beta 90.00
_cell_angle_gamma 90.00
loop_
_atom_site_label
_atom_site_type_symbol
_atom_site_fract_x
_atom_site_fract_y
_atom_site_fract_z
Si1 Si 0.1255 0.3745 0.0000
As1 As 0.0000 0.0000 0.0000
Pb1 Pb 0.1878 0.6878 0.5000